1) This record from the Alexandria database describes an optimized crystal structure of Sr2OsPt. The functional is PBE.

Computed properties:
* volume: 97 Å³ per cell
* density: 9.6 g/cm³

abc: 5.0564 5.0564 3.7934
angles: 90.00 90.00 90.00
Fractional coordinates of all 4 atoms:
Sr1 0.0000 0.5000 0.0000
Sr2 0.5000 0.0000 0.0000
Os1 0.0000 0.0000 0.5000
Pt1 0.5000 0.5000 0.5000

=====

2) This record from the Alexandria database describes an optimized crystal structure of Sr2OsPt. The functional is PBE.

Computed properties:
* volume: 91 Å³ per cell
* density: 10.2 g/cm³

abc: 5.0463 5.0463 5.0463
angles: 60.00 60.00 60.00
Fractional coordinates of all 4 atoms:
Sr1 0.0000 0.0000 0.0000
Sr2 0.2500 0.2500 0.2500
Os1 0.5000 0.5000 0.5000
Pt1 0.7500 0.7500 0.7500

=====

3) This record from the Alexandria database describes an optimized crystal structure of Sr2OsPt. The functional is PBE.

Computed properties:
* volume: 95 Å³ per cell
* density: 9.8 g/cm³

abc: 6.0710 6.0710 5.5620
angles: 106.82 106.82 29.05
Fractional coordinates of all 4 atoms:
Sr1 0.0000 0.0000 0.0000
Sr2 0.1926 0.1926 0.6183
Os1 0.4314 0.4314 0.4626
Pt1 0.7621 0.7621 0.1600

=====

4) This record from the Alexandria database describes an optimized crystal structure of Sr2OsPt. The functional is PBE.

Computed properties:
* volume: 112 Å³ per cell
* density: 8.3 g/cm³

abc: 5.9325 5.9325 5.9325
angles: 135.57 128.62 70.23
Fractional coordinates of all 4 atoms:
Sr1 0.0000 0.0000 0.0000
Sr2 0.7122 0.2122 0.5000
Os1 0.3225 0.8225 0.5000
Pt1 0.4117 0.4117 0.0000

=====

It is 4) that is the most stable of them.